Entry 1:
DFT (PBE) results for a relaxed Sr2MgBi4Au3 crystal.

a = 4.8314 Å, b = 4.8314 Å, c = 12.5838 Å
α = 90.00°, β = 90.00°, γ = 90.00°
Space group P-4m2 (No. 115)
Inequivalent atoms, fractional coordinates:
Sr  0.0000  0.5000  0.2421
Mg  0.0000  0.0000  0.5000
Bi  0.0000  0.0000  0.0000
Bi  0.0000  0.5000  0.6377
Bi  0.5000  0.5000  0.0000
Au  0.0000  0.5000  0.8586
Au  0.5000  0.5000  0.5000

Output
D(E_F)	3.7	states/eV/cell
formation enthalpy at 0 K	-460	meV/atom
ρ	9.2	g/cm3

=====

Entry 2:
DFT (PBE) results for a relaxed Mg2ScBr crystal.

a = 3.3320 Å, b = 5.5585 Å, c = 5.4470 Å
α = 90.00°, β = 100.36°, γ = 90.00°
Space group P2/m (No. 10)
Inequivalent atoms, fractional coordinates:
Mg  0.1756  0.0000  0.2543
Sc  0.5000  0.5000  0.0000
Br  0.5000  0.5000  0.5000

Output
D(E_F)	3.1	states/eV/cell
E_form (uncorrected)	-0.18	eV/atom
excess energy over the best structure of this formula in the dataset	0.192	eV/atom
ρ	2.9	g/cm3

=====

Entry 3:
DFT (PBE) results for a relaxed Pm2PaSn crystal.

a = 4.9114 Å, b = 4.9114 Å, c = 4.6224 Å
α = 90.00°, β = 90.00°, γ = 90.00°
Space group P4/mmm (No. 123)
Inequivalent atoms, fractional coordinates:
Pm  0.0000  0.5000  0.0000
Pa  0.0000  0.0000  0.5000
Sn  0.5000  0.5000  0.5000

Output
D(E_F)	5.3	states/eV/cell
excess energy over the best structure of this formula in the dataset	0.000	eV/atom
formation enthalpy at 0 K	-203	meV/atom
ρ	9.5	g/cm3

=====

Entry 4:
DFT (PBE) results for a relaxed TaAl2W crystal.

a = 6.3488 Å, b = 6.3488 Å, c = 6.3488 Å
α = 90.00°, β = 90.00°, γ = 90.00°
Space group Fm-3m (No. 225)
Inequivalent atoms, fractional coordinates:
Ta  0.0000  0.0000  0.0000
Al  0.2500  0.2500  0.2500
W  0.0000  0.0000  0.5000

Output
D(E_F)	15.6	states/eV/cell
excess energy over the best structure of this formula in the dataset	0.332	eV/atom
formation enthalpy at 0 K	182	meV/atom
ρ	10.9	g/cm3

=====

Entry 5:
DFT (PBE) results for a relaxed YCrPt2 crystal.

a = 3.4812 Å, b = 3.4812 Å, c = 6.0624 Å
α = 90.00°, β = 90.00°, γ = 90.00°
Space group P4/mmm (No. 123)
Inequivalent atoms, fractional coordinates:
Y  0.0000  0.0000  0.0000
Cr  0.0000  0.0000  0.5000
Pt  0.5000  0.5000  0.2714

Output
D(E_F)	3.5	states/eV/cell
excess energy over the best structure of this formula in the dataset	0.070	eV/atom
formation enthalpy at 0 K	-581	meV/atom
ρ	12.0	g/cm3

=====

Entry 6:
DFT (PBE) results for a relaxed Sr2Ca6IrAu crystal.

a = 11.5367 Å, b = 11.5367 Å, c = 11.5367 Å
α = 90.00°, β = 90.00°, γ = 90.00°
Space group Fm-3m (No. 225)
Inequivalent atoms, fractional coordinates:
Sr  0.2500  0.2500  0.2500
Ca  0.0000  0.0000  0.2416
Ir  0.0000  0.0000  0.0000
Au  0.0000  0.0000  0.5000

Output
D(E_F)	33.5	states/eV/cell
formation enthalpy at 0 K	-285	meV/atom
ρ	3.5	g/cm3

=====

Question: Among the records above, which one has the lowest D(E_F)?
Answer: Mg2ScBr